1.
First-principles (GGA-PBE) data for a geometry-optimized Mg2SbP structure, as listed in Alexandria via LeMat-Bulk.

energy relative to the elements, uncorrected = -98 kJ/mol of formula units
distance to the lowest polymorph of the same formula = 77 meV per atom
total moment = 0.0 μB per formula unit
total DFT energy (no corrections) = -13.732 eV/cell
Fermi-level density of states = 1.34 states/eV per cell
SG = P4mm

```
Mg2SbP
1.0
3.536 0.000 0.000
0.000 3.536 0.000
0.000 0.000 7.888
Mg P Sb
2 1 1
Cartesian
0.000 0.000 0.019 Mg
1.768 1.768 3.174 Mg
0.000 0.000 2.478 P
1.768 1.768 6.161 Sb
```

2.
First-principles (GGA-PBE) data for a geometry-optimized Mg2SbP structure, as listed in Alexandria via LeMat-Bulk.

energy relative to the elements, uncorrected = -46 kJ/mol of formula units
distance to the lowest polymorph of the same formula = 212 meV per atom
total moment = 0.0 μB per formula unit
total DFT energy (no corrections) = -13.194 eV/cell
Fermi-level density of states = 1.58 states/eV per cell
SG = Immm

```
Mg2SbP
1.0
-3.571 -3.331 -2.034
2.399 -4.653 0.762
-1.797 3.964 3.008
Mg P Sb
2 1 1
Cartesian
-0.044 -0.302 -0.048 Mg
-0.542 -3.690 -0.588 Mg
0.008 -2.341 1.567 P
-2.977 -1.680 0.169 Sb
```

3.
First-principles (GGA-PBE) data for a geometry-optimized MgSbP2 structure, as listed in Alexandria via LeMat-Bulk.

energy relative to the elements, uncorrected = 32 kJ/mol of formula units
distance to the lowest polymorph of the same formula = 207 meV per atom
total moment = 0.0 μB per formula unit
total DFT energy (no corrections) = -16.209 eV/cell
Fermi-level density of states = 1.45 states/eV per cell
SG = P4mm

```
MgSbP2
1.0
-0.789 3.119 0.007
-1.746 -0.437 -2.666
-6.460 -1.645 4.501
Mg P Sb
1 2 1
Cartesian
-6.416 0.030 2.257 Mg
-0.277 -0.071 0.193 P
-2.128 1.122 -0.730 P
-3.405 -0.867 2.372 Sb
```

4.
First-principles (GGA-PBE) data for a geometry-optimized MgSbP2 structure, as listed in Alexandria via LeMat-Bulk.

energy relative to the elements, uncorrected = 73 kJ/mol of formula units
distance to the lowest polymorph of the same formula = 314 meV per atom
total moment = 0.0 μB per formula unit
total DFT energy (no corrections) = -15.779 eV/cell
Fermi-level density of states = 1.64 states/eV per cell
SG = Cmmm

```
MgSbP2
1.0
-1.511 -3.537 2.655
-0.569 -1.943 -4.213
3.298 -1.295 0.152
Mg P Sb
1 2 1
Cartesian
1.364 -1.619 -2.030 Mg
0.000 0.000 0.000 P
-1.040 -2.740 -0.779 P
0.893 -2.416 1.404 Sb
```